First-principles (GGA-PBE) data for a relaxed Mg6PdAu crystal, as listed in the Alexandria database.

Cell lengths 7.852, 7.852, 7.852 Å; angles 145.09, 145.09, 50.21 degrees
Fractional coordinates of all 8 atoms:
Mg1 0.247 0.247 0.000
Mg2 0.894 0.394 0.500
Mg3 0.394 0.894 0.500
Mg4 0.106 0.606 0.500
Mg5 0.753 0.753 0.000
Mg6 0.606 0.106 0.500
Pd1 0.000 0.000 0.000
Au1 0.500 0.500 0.000

Calculated values
The value obtained for the energy above the lowest structure with this stoichiometry is 0.0000 eV/atom. The density of states at the Fermi level comes out at 0.343 states/eV/atom. For the total magnetization, the calculation gives 0.000 μB per formula unit. For the formation energy, the calculation gives -356 meV per atom. As for the space group: I4/mmm. The theoretical density is 4.7 Mg/m³.